No. 1
Here is TcHg2Ru after structural relaxation from Alexandria. Energies are from PBE-GGA.

```
TcHg2Ru
1.0
4.9724 -0.0695 0.0000
1.5640 4.7205 0.0000
-3.2682 -2.3255 2.9394
Hg Ru Tc
2 1 1
Direct
0.0000 0.0000 0.0000
0.2500 0.7500 0.5000
0.5000 0.5000 0.0000
0.7500 0.2500 0.5000
```

Output
ΔH_f (0 K), eV/f.u.: 2.8
Energy above the most stable polymorph in this dataset, meV/atom: 448
DFT total energy, eV/atom: -4.360
SG: I-4m2
Volume, Å³ per cell: 69.3



No. 2
Here is Pu2N2F7 after structural relaxation from Alexandria. Energies are from PBE-GGA.

```
Pu2N2F7
1.0
7.4975 0.0000 0.0000
-3.7487 4.1125 -0.8984
0.0000 1.5382 7.1779
Pu N F
2 2 7
Direct
0.7262 0.4524 0.0000
0.2738 0.5476 0.0000
0.0743 0.0000 0.5000
0.9257 0.0000 0.5000
0.4993 0.4986 0.8249
0.0007 0.5014 0.1751
0.5007 0.5014 0.1751
0.9993 0.4986 0.8249
0.0000 0.0000 0.0000
0.5007 0.0014 0.1707
0.4993 0.9986 0.8293
```

Output
Formation energy (no corrections), eV/atom: -2.845
DFT total energy, eV/atom: -8.156
SG: C2/m
Volume, Å³ per cell: 231.7



No. 3
Here is RbCaScI6 after structural relaxation from Alexandria. Energies are from PBE-GGA.

```
RbCaScI6
1.0
7.8673 0.0000 0.0000
-3.9337 6.8133 0.0000
0.0000 0.0000 16.2235
Rb Ca Sc I
2 2 2 12
Direct
0.0000 0.0000 0.0000
0.0000 0.0000 0.5000
0.3333 0.6667 0.2500
0.6667 0.3333 0.7500
0.6667 0.3333 0.2500
0.3333 0.6667 0.7500
0.6411 0.6194 0.1441
0.9783 0.3589 0.1441
0.3589 0.9783 0.6441
0.0217 0.6411 0.8559
0.3806 0.3589 0.3559
0.9783 0.6194 0.3559
0.6194 0.9783 0.8559
0.6411 0.0217 0.3559
0.0217 0.3806 0.6441
0.3806 0.0217 0.1441
0.6194 0.6411 0.6441
0.3589 0.3806 0.8559
```

Output
Formation energy (no corrections), eV/atom: -1.420
DFT total energy, eV/atom: -3.487
SG: P-31c
Volume, Å³ per cell: 869.6